Record 1
Here is a relaxed structure of Zn2HgIr from the Alexandria database. Energies are from PBE-GGA.

abc: 3.0270 3.6947 5.7978
angles: 90.00 90.52 90.00
Fractional coordinates of all 4 atoms:
Zn 0.0003 0.0000 0.2142
Zn 0.9997 0.0000 0.7858
Hg 0.5000 0.5000 0.5000
Ir 0.5000 0.5000 0.0000

Energy of formation from the pure elements ... 0.0177 eV per atom
E ... -2.910 eV/atom
Fermi-level density of states ... 0.474 states/eV per atom

=====

Record 2
Here is a relaxed structure of Gd3Rh from the Alexandria database. Energies are from PBE-GGA.

abc: 4.0542 4.9883 5.2732
angles: 90.00 90.00 90.00
Fractional coordinates of all 4 atoms:
Gd 0.0000 0.0000 0.0000
Gd 0.0000 0.5000 0.4909
Gd 0.5000 0.0000 0.5302
Rh 0.5000 0.5000 0.8781

Energy relative to the lowest polymorph listed for this composition ... 23.98 kJ per mole of atoms
Energy of formation from the pure elements ... -0.1558 eV per atom
E ... -12.554 eV/atom
Fermi-level density of states ... 0.729 states/eV per atom

=====

Q: The lowest Fermi-level density of states belongs to which entry?
A: Zn2HgIr

=====

Q: Fermi-level density of states of number 1 (Zn2HgIr)?
A: 0.474 states/eV per atom